Crystalline Ac2La5Ho at its relaxed geometry, computed with PBE.

The calculation puts the formation energy at 2.01 kJ/mol of atoms. Its density is 7.21 Mg/m³.

It has space group Pbam (No. 55), with a = 7.508 Å, b = 15.063 Å, c = 5.352 Å, α = 90.00°, β = 90.00° and γ = 90.00°. The inequivalent atoms are Ac at (0.246, 0.124, 0.000), La at (0.000, 0.500, 0.500), La at (0.003, 0.752, 0.500), La at (0.248, 0.376, 0.000) and Ho at (0.000, 0.000, 0.500).

=====

Crystalline Ac7La2Ho2 at its relaxed geometry, computed with PBE.

The calculation puts the formation energy at 30.73 kJ/mol of atoms. Its density is 7.67 Mg/m³.

It has space group C2/m (No. 12), with a = 12.960 Å, b = 7.275 Å, c = 10.087 Å, α = 90.00°, β = 90.09° and γ = 90.00°. The inequivalent atoms are Ac at (0.000, 0.000, 0.000), Ac at (0.000, 0.500, 0.183), Ac at (0.250, 0.250, 0.310), La at (0.000, 0.246, 0.500) and Ho at (0.230, 0.500, 0.000).

=====

Crystalline Ac5La5Ho2 at its relaxed geometry, computed with PBE.

The calculation puts the formation energy at 3.45 kJ/mol of atoms. Its density is 7.63 Mg/m³.

It has space group C2/m (No. 12), with a = 16.176 Å, b = 5.398 Å, c = 12.038 Å, α = 90.00°, β = 116.55° and γ = 90.00°. The inequivalent atoms are Ac at (0.000, 0.000, 0.000), Ac at (0.161, 0.000, 0.496), Ac at (0.247, 0.500, 0.753), La at (0.000, 0.500, 0.500), La at (0.078, 0.500, 0.247), La at (0.167, 0.500, 0.000) and Ho at (0.085, 0.000, 0.755).

=====

Crystalline AcLa3Ho8 at its relaxed geometry, computed with PBE.

The calculation puts the formation energy at 26.53 kJ/mol of atoms. Its density is 7.45 Mg/m³.

It has space group Immm (No. 71), with a = 6.394 Å, b = 11.520 Å, c = 11.880 Å, α = 90.00°, β = 90.00° and γ = 90.00°. The inequivalent atoms are Ac at (0.000, 0.000, 0.000), La at (0.000, 0.246, 0.500), La at (0.000, 0.500, 0.000), Ho at (0.000, 0.251, 0.180) and Ho at (0.248, 0.000, 0.256).

=====

Crystalline AcLa4Ho7 at its relaxed geometry, computed with PBE.

The calculation puts the formation energy at 26.94 kJ/mol of atoms. Its density is 7.48 Mg/m³.

It has space group C2/m (No. 12), with a = 12.395 Å, b = 6.117 Å, c = 12.884 Å, α = 90.00°, β = 118.24° and γ = 90.00°. The inequivalent atoms are Ac at (0.000, 0.000, 0.000), La at (0.063, 0.500, 0.330), La at (0.145, 0.000, 0.776), Ho at (0.000, 0.500, 0.000), Ho at (0.135, 0.000, 0.501), Ho at (0.206, 0.500, 0.923) and Ho at (0.236, 0.500, 0.674).

=====

Crystalline Ac7La12Ho at its relaxed geometry, computed with PBE.

The calculation puts the formation energy at 23.48 kJ/mol of atoms. Its density is 7.05 Mg/m³.

It has space group R-3m (No. 166, hexagonal axes), with a = 20.3925 Å, b = 20.3925 Å, c = 6.7093 Å, α = 90.00°, β = 90.00° and γ = 120.00°. The inequivalent atoms are Ac at (0.0000, 0.0000, 0.0000), Ac at (0.0857, 0.1714, 0.2946), La at (0.0000, 0.4047, 0.0000), La at (0.0918, 0.5459, 0.4686) and Ho at (0.0000, 0.0000, 0.5000).